First-principles (PBE) data for a geometry-optimized Y6Ge2PbSe3 structure, as listed in Alexandria.

POSCAR file:
```
Y6Ge2PbSe3
1.0
4.1596 0.0000 0.0000
0.0000 8.4521 0.3040
-2.0798 -2.4353 8.8259
Y Se Ge Pb
6 3 2 1
Cartesian
2.0798 -0.0001 3.0508
0.0000 1.9841 5.9305
0.0000 2.2031 0.1568
0.0000 6.0170 6.0791
2.0798 3.8137 8.9731
2.0798 4.0327 3.1994
0.0000 6.2274 3.1765
2.0798 -0.2105 5.9534
2.0798 4.2261 0.1520
0.0000 2.0173 3.0462
2.0798 3.9995 6.0837
2.0798 0.0000 0.0000
```

Output
Space-group type   No. 12
Energy relative to the elements, uncorrected   -15.7 eV per formula unit
Volume   26.11 Å³ per atom
VASP energy   -6.4925 eV per atom